# PBE Ca2NiSe, optimized geometry
data_Ca2NiSe
_cell_length_a 3.561
_cell_length_b 3.584
_cell_length_c 6.994
_cell_angle_alpha 90.00
_cell_angle_beta 90.10
_cell_angle_gamma 90.00
_symmetry_space_group_name_H-M 'P 1 2/m 1'
_symmetry_Int_Tables_number 10
_symmetry_space_group_name_Hall '-P 2y'
loop_
_atom_site_label
_atom_site_fract_x
_atom_site_fract_y
_atom_site_fract_z
Ca1 0.000 0.000 0.249
Ni1 0.500 0.500 0.500
Se1 0.500 0.500 0.000
# E_form (uncorrected) = -789 meV per atom
# Electronic total energy = -16.4 eV/cell
# Mass density = 4.05 Mg/m³